SiBi2Se: optimized geometry, PBEsol.

Output
The value obtained for the total magnetization is 0.00 μB/f.u. The calculation puts the formation energy from raw total energies at 223 meV/atom. As for the volume: 95.02 Å³/f.u.

a b c (Å): 5.122 5.122 5.122
angles (deg): 60.00 60.00 60.00
Atoms (fractional coordinates):
Si  0.000  0.000  0.000
Bi  0.250  0.250  0.250
Bi  0.750  0.750  0.750
Se  0.500  0.500  0.500

***

Mg2ZnSi: optimized geometry, PBEsol.

Output
The value obtained for the total magnetization is 0.00 μB/f.u. The calculation puts the formation energy from raw total energies at 92 meV/atom. As for the volume: 71.91 Å³/f.u.

a b c (Å): 3.567 3.567 5.653
angles (deg): 90.00 90.00 90.00
Atoms (fractional coordinates):
Mg  0.000  0.000  0.000
Mg  0.500  0.500  0.292
Zn  0.500  0.500  0.762
Si  0.000  0.000  0.524

***

BeGaAgB2: optimized geometry, PBEsol.

Output
The value obtained for the total energy is -3.204 eV per atom. The value obtained for the total magnetization is 0.00 μB/f.u. As for the volume: 84.36 Å³/f.u.

a b c (Å): 3.995 3.995 5.286
angles (deg): 90.00 90.00 90.00
Atoms (fractional coordinates):
Be  0.000  0.000  0.000
Ga  0.500  0.500  0.000
Ag  0.500  0.500  0.500
B  0.000  0.500  0.500
B  0.500  0.000  0.500